First-principles (PBE) data for a geometry-optimized Pa2N structure, as listed in Alexandria.

Geometry as CIF:
```
data_Pa2N
_cell_length_a 5.584
_cell_length_b 5.196
_cell_length_c 3.846
_cell_angle_alpha 90.00
_cell_angle_beta 95.11
_cell_angle_gamma 90.00
_symmetry_space_group_name_H-M 'C 1 2/m 1'
_symmetry_Int_Tables_number 12
loop_
_symmetry_equiv_pos_as_xyz
'x,y,z'
'-x,-y,-z'
'-x,y,-z'
'x,-y,z'
'x+1/2,y+1/2,z'
'-x+1/2,-y+1/2,-z'
'-x+1/2,y+1/2,-z'
'x+1/2,-y+1/2,z'
loop_
_atom_site_label
_atom_site_type_symbol
_atom_site_fract_x
_atom_site_fract_y
_atom_site_fract_z
Pa1 Pa 0.193 0.000 0.304
N1 N 0.000 0.500 0.000
```

Properties
The uncorrected formation energy is -0.424 eV/atom. The calculation puts the size of the total moment at 0.00 Bohr magnetons per cell. As for the density of states at the Fermi level: 1.383 states/eV per atom. As for the crystal system: monoclinic.